# 1
Ho2Zr3Pb4: relaxed, PBE.

It has space group P2_1/c (No. 14), with a = 7.999 Å, b = 7.988 Å, c = 7.822 Å, α = 90.00°, β = 111.02° and γ = 90.00°. The inequivalent atoms are Ho at (0.183, 0.170, 0.052), Zr at (0.253, 0.672, 0.245), Zr at (0.500, 0.000, 0.500), Pb at (0.085, 0.534, 0.842) and Pb at (0.481, 0.142, 0.855).

Its volume is 25.9 Å³ per atom. The energy is -5.879 eV/atom. Its total moment is 0.00 μB/atom. For the energy of formation from the pure elements, the calculation gives -3.3 eV/f.u.

***

# 2
HoZrPb2: relaxed, PBE.

It has space group R-3m (No. 166, hexagonal axes), with a = 4.8793 Å, b = 4.8793 Å, c = 15.6805 Å, α = 90.00°, β = 90.00° and γ = 120.00°. The inequivalent atoms are Ho at (0.0000, 0.0000, 0.0000), Zr at (0.0000, 0.0000, 0.5000) and Pb at (0.0000, 0.0000, 0.2453).

Its volume is 26.9 Å³ per atom. The energy is -5.343 eV/atom. Its total moment is 0.00 μB/atom. For the energy of formation from the pure elements, the calculation gives -0.8 eV/f.u.

***

# 3
HoZrPb2: relaxed, PBE.

It has space group P4/mmm (No. 123), with a = 4.815 Å, b = 4.815 Å, c = 4.430 Å, α = 90.00°, β = 90.00° and γ = 90.00°. The inequivalent atoms are Ho at (0.000, 0.000, 0.000), Zr at (0.500, 0.500, 0.000) and Pb at (0.000, 0.500, 0.500).

Its volume is 25.7 Å³ per atom. The energy is -5.348 eV/atom. Its total moment is 0.00 μB/atom. For the energy of formation from the pure elements, the calculation gives -0.9 eV/f.u.

***

Which formula does entry 3 have?
HoZrPb2

***

Look up the volume of the third one.
25.7 Å³ per atom

***

What is the volume in the first record?
25.9 Å³ per atom

***

What did the second record say?
HoZrPb2: relaxed, PBE.

It has space group R-3m (No. 166, hexagonal axes), with a = 4.8793 Å, b = 4.8793 Å, c = 15.6805 Å, α = 90.00°, β = 90.00° and γ = 120.00°. The inequivalent atoms are Ho at (0.0000, 0.0000, 0.0000), Zr at (0.0000, 0.0000, 0.5000) and Pb at (0.0000, 0.0000, 0.2453).

Its volume is 26.9 Å³ per atom. The energy is -5.343 eV/atom. Its total moment is 0.00 μB/atom. For the energy of formation from the pure elements, the calculation gives -0.8 eV/f.u.